Here is a relaxed structure of YReSBr2 from the Alexandria database. Energies are from PBE.

Lattice parameters (Å, degrees): 5.2291 5.2291 4.4552 90.00 90.00 90.00
Space group P4/mmm (No. 123)
Inequivalent atoms, fractional coordinates:
1 Y 0.0000 0.0000 0.0000 (multiplicity 1)
2 Re 0.5000 0.5000 0.5000 (multiplicity 1)
3 S 0.5000 0.5000 0.0000 (multiplicity 1)
4 Br 0.0000 0.5000 0.5000 (multiplicity 2)

Output
Crystal system: tetragonal
Total magnetic moment in Bohr magnetons per cell: 0.00
ΔE_f (raw) in kJ/mol of atoms: 8